Material: CuMoP2
Method: DFT, GGA-PBE
State: optimized geometry

Calculated values
D(E_F) in states/eV/atom: 0.709
Volume in Å³/cell: 110.0
Energy of formation from the pure elements in eV per formula unit: 0.60
Crystal system: tetragonal

abc: 3.526 3.526 8.847
angles: 90.00 90.00 90.00
Space group I-4m2 (No. 119)
Unique sites:
Cu: 0.000 0.000 0.000 (multiplicity 2)
Mo: 0.000 0.500 0.750 (multiplicity 2)
P: 0.000 0.000 0.500 (multiplicity 2)
P: 0.000 0.500 0.250 (multiplicity 2)